[1]
## Nd12Bi3O5 (GGA-PBE)

Data for an optimized crystal structure of Nd12Bi3O5.

Computed properties:
Space group: Ia-3d, No. 230
Energy relative to the elements, uncorrected in eV/atom: -1.59

Unit cell a=14.1238 b=14.1238 c=14.1238 alpha=109.47 beta=109.47 gamma=109.47
Closest atoms and distances in Å follow each position.
Sites, in units of the cell vectors:
Nd 0.0068 0.1945 0.1062  1 O 2.31
Nd 0.0068 0.3124 0.9007  1 O 2.31
Nd 0.0883 0.6945 0.6876  1 O 2.31
Nd 0.0883 0.8938 0.4007  1 O 2.31
Nd 0.0993 0.6062 0.4117  1 O 2.31
Nd 0.0993 0.9932 0.6876  1 O 2.31
Nd 0.1062 0.0068 0.1945  1 O 2.31
Nd 0.1062 0.5993 0.9117  1 O 2.31
Nd 0.1876 0.1945 0.5883  1 O 2.31
Nd 0.1876 0.4932 0.5993  1 O 2.31
Nd 0.1945 0.1062 0.0068  1 O 2.31
Nd 0.1945 0.5883 0.1876  1 O 2.31
Nd 0.3055 0.3124 0.9117  1 O 2.31
Nd 0.3055 0.4932 0.3938  1 O 2.31
Nd 0.3124 0.9007 0.0068  1 O 2.31
Nd 0.3124 0.9117 0.3055  1 O 2.31
Nd 0.3938 0.3055 0.4932  1 O 2.31
Nd 0.3938 0.5883 0.9007  1 O 2.31
Nd 0.4007 0.0883 0.8938  1 O 2.31
Nd 0.4007 0.8124 0.5068  1 O 2.31
Nd 0.4117 0.0993 0.6062  1 O 2.31
Nd 0.4117 0.8124 0.8055  1 O 2.31
Nd 0.4932 0.3938 0.3055  1 O 2.31
Nd 0.4932 0.5993 0.1876  1 O 2.31
Nd 0.5068 0.4007 0.8124  1 O 2.31
Nd 0.5068 0.6062 0.6945  1 O 2.31
Nd 0.5883 0.1876 0.1945  1 O 2.31
Nd 0.5883 0.9007 0.3938  1 O 2.31
Nd 0.5993 0.1876 0.4932  1 O 2.31
Nd 0.5993 0.9117 0.1062  1 O 2.31
Nd 0.6062 0.4117 0.0993  1 O 2.31
Nd 0.6062 0.6945 0.5068  1 O 2.31
Nd 0.6876 0.0883 0.6945  1 O 2.31
Nd 0.6876 0.0993 0.9932  1 O 2.31
Nd 0.6945 0.5068 0.6062  1 O 2.31
Nd 0.6945 0.6876 0.0883  1 O 2.31
Nd 0.8055 0.4117 0.8124  1 O 2.31
Nd 0.8055 0.8938 0.9932  1 O 2.31
Nd 0.8124 0.5068 0.4007  1 O 2.31
Nd 0.8124 0.8055 0.4117  1 O 2.31
Nd 0.8938 0.4007 0.0883  1 O 2.31
Nd 0.8938 0.9932 0.8055  1 O 2.31
Nd 0.9007 0.0068 0.3124  1 O 2.31
Nd 0.9007 0.3938 0.5883  1 O 2.31
Nd 0.9117 0.1062 0.5993  1 O 2.31
Nd 0.9117 0.3055 0.3124  1 O 2.31
Nd 0.9932 0.6876 0.0993  1 O 2.31
Nd 0.9932 0.8055 0.8938  1 O 2.31
Bi 0.1250 0.2500 0.3750  8 Nd 3.28-3.39
Bi 0.1250 0.3750 0.7500  8 Nd 3.28-3.39
Bi 0.2500 0.3750 0.1250  8 Nd 3.28-3.39
Bi 0.2500 0.8750 0.6250  8 Nd 3.28-3.39
Bi 0.3750 0.1250 0.2500  8 Nd 3.28-3.39
Bi 0.3750 0.7500 0.1250  8 Nd 3.28-3.39
Bi 0.6250 0.2500 0.8750  8 Nd 3.28-3.39
Bi 0.6250 0.8750 0.7500  8 Nd 3.28-3.39
Bi 0.7500 0.1250 0.3750  8 Nd 3.28-3.39
Bi 0.7500 0.6250 0.8750  8 Nd 3.28-3.39
Bi 0.8750 0.6250 0.2500  8 Nd 3.28-3.39
Bi 0.8750 0.7500 0.6250  8 Nd 3.28-3.39
O 0.0000 0.0000 0.0000  6 Nd 2.60
O 0.0000 0.0000 0.5000  6 Nd 2.60
O 0.0000 0.5000 0.0000  6 Nd 2.60
O 0.0000 0.5000 0.5000  6 Nd 2.60
O 0.1250 0.7500 0.8750  4 Nd 2.31
O 0.1250 0.8750 0.2500  4 Nd 2.31
O 0.2500 0.1250 0.8750  4 Nd 2.31
O 0.2500 0.6250 0.3750  4 Nd 2.31
O 0.3750 0.2500 0.6250  4 Nd 2.31
O 0.3750 0.6250 0.7500  4 Nd 2.31
O 0.5000 0.0000 0.0000  6 Nd 2.60
O 0.5000 0.0000 0.5000  6 Nd 2.60
O 0.5000 0.5000 0.0000  6 Nd 2.60
O 0.5000 0.5000 0.5000  6 Nd 2.60
O 0.6250 0.3750 0.2500  4 Nd 2.31
O 0.6250 0.7500 0.3750  4 Nd 2.31
O 0.7500 0.3750 0.6250  4 Nd 2.31
O 0.7500 0.8750 0.1250  4 Nd 2.31
O 0.8750 0.1250 0.7500  4 Nd 2.31
O 0.8750 0.2500 0.1250  4 Nd 2.31



[2]
## Nd5Bi4O (GGA-PBE)

Data for an optimized crystal structure of Nd5Bi4O.

Computed properties:
Space group: I4, No. 79
Energy relative to the elements, uncorrected in eV/atom: -1.15

Unit cell a=7.7133 b=7.7133 c=7.7133 alpha=100.19 beta=100.19 gamma=130.24
Closest atoms and distances in Å follow each position.
Sites, in units of the cell vectors:
Nd 0.0000 0.0000 0.0000  1 O 2.22
Nd 0.1344 0.3097 0.6277  1 O 2.91, 4 Bi 3.20-3.25
Nd 0.3097 0.6820 0.1753  1 O 2.91, 4 Bi 3.20-3.25
Nd 0.5067 0.1344 0.8247  1 O 2.91, 4 Bi 3.20-3.25
Nd 0.6820 0.5067 0.3723  1 O 2.91, 4 Bi 3.20-3.25
Bi 0.2113 0.9949 0.3923  6 Nd 3.19-3.27
Bi 0.6026 0.8190 0.6077  6 Nd 3.19-3.27
Bi 0.8190 0.2113 0.2164  6 Nd 3.19-3.27
Bi 0.9949 0.6026 0.7836  6 Nd 3.19-3.27
O 0.3415 0.3415 0.0000  1 Nd 2.22



[3]
## Nd3BiO4 (GGA-PBE)

Data for an optimized crystal structure of Nd3BiO4.

Computed properties:
Space group: P4/mmm, No. 123
Energy relative to the elements, uncorrected in eV/atom: -2.75

Unit cell a=4.0296 b=4.0296 c=10.5762 alpha=90.00 beta=90.00 gamma=90.00
Closest atoms and distances in Å follow each position.
Sites, in units of the cell vectors:
Nd 0.0000 0.0000 0.0000  8 O 2.49
Nd 0.5000 0.5000 0.2347  4 O 2.26
Nd 0.5000 0.5000 0.7653  4 O 2.26
Bi 0.0000 0.0000 0.5000  8 Nd 4.00, 4 Bi 4.03, 8 O 4.33
O 0.0000 0.5000 0.1379  4 Nd 2.26-2.49
O 0.0000 0.5000 0.8621  4 Nd 2.26-2.49
O 0.5000 0.0000 0.1379  4 Nd 2.26-2.49
O 0.5000 0.0000 0.8621  4 Nd 2.26-2.49



[4]
## NdBiO4 (GGA-PBE)

Data for an optimized crystal structure of NdBiO4.

Computed properties:
Space group: C2/c, No. 15
Energy relative to the elements, uncorrected in eV/atom: -1.94

Unit cell a=6.8465 b=6.8465 c=5.3752 alpha=110.24 beta=110.24 gamma=114.45
Closest atoms and distances in Å follow each position.
Sites, in units of the cell vectors:
Nd 0.1372 0.8628 0.7500  8 O 2.39-2.66
Nd 0.8628 0.1372 0.2500  8 O 2.39-2.66
Bi 0.4021 0.5979 0.2500  4 O 2.07-2.15
Bi 0.5979 0.4021 0.7500  4 O 2.07-2.15
O 0.1178 0.5502 0.3349  1 Bi 2.07
O 0.2337 0.2884 0.7682  2 Bi 2.15-2.33
O 0.2884 0.2337 0.2682  2 Bi 2.15-2.33
O 0.4498 0.8822 0.1651  1 Bi 2.07
O 0.5502 0.1178 0.8349  1 Bi 2.07
O 0.7116 0.7663 0.7318  2 Bi 2.15-2.33
O 0.7663 0.7116 0.2318  2 Bi 2.15-2.33
O 0.8822 0.4498 0.6651  1 Bi 2.07



[5]
## Nd5Bi2O12 (GGA-PBE)

Data for an optimized crystal structure of Nd5Bi2O12.

Computed properties:
Space group: C2/m, No. 12
Energy relative to the elements, uncorrected in eV/atom: -2.53

Unit cell a=7.2652 b=7.2652 c=7.7789 alpha=105.66 beta=105.66 gamma=51.89
Closest atoms and distances in Å follow each position.
Sites, in units of the cell vectors:
Nd 0.0000 0.0000 0.0000  6 O 2.37-2.49
Nd 0.2974 0.2974 0.1345  7 O 2.39-2.60
Nd 0.3044 0.3044 0.6732  7 O 2.40-2.60
Nd 0.6956 0.6956 0.3268  7 O 2.40-2.60
Nd 0.7026 0.7026 0.8655  7 O 2.39-2.60
Bi 0.2456 0.7544 0.5000  6 O 2.14-2.23
Bi 0.7544 0.2456 0.5000  6 O 2.14-2.23
O 0.0003 0.0003 0.3053  2 Bi 2.18, 1 Nd 2.37
O 0.9997 0.9997 0.6947  2 Bi 2.18, 1 Nd 2.37
O 0.0947 0.5965 0.9263  4 Nd 2.39-2.49
O 0.1008 0.5563 0.4112  1 Bi 2.14, 1 Nd 2.40
O 0.4035 0.9053 0.0737  4 Nd 2.39-2.49
O 0.4437 0.8992 0.5888  1 Bi 2.14, 1 Nd 2.40
O 0.4986 0.4986 0.6957  2 Bi 2.23, 1 Nd 2.49
O 0.5014 0.5014 0.3043  2 Bi 2.23, 1 Nd 2.49
O 0.5563 0.1008 0.4112  1 Bi 2.14, 1 Nd 2.40
O 0.5965 0.0947 0.9263  4 Nd 2.39-2.49
O 0.8992 0.4437 0.5888  1 Bi 2.14, 1 Nd 2.40
O 0.9053 0.4035 0.0737  4 Nd 2.39-2.49



[6]
## NdBiOsO6 (GGA-PBE)

Data for an optimized crystal structure of NdBiOsO6.

Computed properties:
Space group: P-31c, No. 163
Energy relative to the elements, uncorrected in eV/atom: -1.65

Unit cell a=5.7178 b=5.7178 c=9.3762 alpha=90.00 beta=90.00 gamma=120.00
Closest atoms and distances in Å follow each position.
Sites, in units of the cell vectors:
Nd 0.3333 0.6667 0.2500  6 O 2.36
Nd 0.6667 0.3333 0.7500  6 O 2.36
Bi 0.0000 0.0000 0.0000  6 O 2.40
Bi 0.0000 0.0000 0.5000  6 O 2.40
Os 0.3333 0.6667 0.7500  6 O 1.95
Os 0.6667 0.3333 0.2500  6 O 1.95
O 0.0536 0.3819 0.6329  1 Os 1.95
O 0.0536 0.6717 0.8671  1 Os 1.95
O 0.3283 0.3819 0.8671  1 Os 1.95
O 0.3283 0.9464 0.6329  1 Os 1.95
O 0.3819 0.0536 0.1329  1 Os 1.95
O 0.3819 0.3283 0.3671  1 Os 1.95
O 0.6181 0.6717 0.6329  1 Os 1.95
O 0.6181 0.9464 0.8671  1 Os 1.95
O 0.6717 0.0536 0.3671  1 Os 1.95
O 0.6717 0.6181 0.1329  1 Os 1.95
O 0.9464 0.3283 0.1329  1 Os 1.95
O 0.9464 0.6181 0.3671  1 Os 1.95